This record from Alexandria describes crystalline RbLiN2O at its relaxed geometry. The functional is PBE.

```
data_RbLiN2O
_chemical_formula_sum 'Rb1 Li1 N2 O1'
_symmetry_space_group_name_H-M 'P 1'
_symmetry_Int_Tables_number 1
_symmetry_space_group_name_Hall 'P 1'
_cell_length_a 4.551
_cell_length_b 4.551
_cell_length_c 3.956
_cell_angle_alpha 90.00
_cell_angle_beta 90.00
_cell_angle_gamma 90.00
loop_
_atom_site_label
_atom_site_type_symbol
_atom_site_fract_x
_atom_site_fract_y
_atom_site_fract_z
Rb1 Rb 0.000 0.000 0.000
Li1 Li 0.500 0.500 0.500
N1 N 0.000 0.500 0.500
N2 N 0.500 0.000 0.500
O1 O 0.500 0.500 0.000
```

***

This record from Alexandria describes crystalline RbLiN2O at its relaxed geometry. The functional is PBE.

```
data_RbLiN2O
_chemical_formula_sum 'Rb1 Li1 N2 O1'
_symmetry_space_group_name_H-M 'P 1'
_symmetry_Int_Tables_number 1
_symmetry_space_group_name_Hall 'P 1'
_cell_length_a 5.360
_cell_length_b 5.360
_cell_length_c 4.973
_cell_angle_alpha 90.00
_cell_angle_beta 90.00
_cell_angle_gamma 90.00
loop_
_atom_site_label
_atom_site_type_symbol
_atom_site_fract_x
_atom_site_fract_y
_atom_site_fract_z
Rb1 Rb 0.000 0.000 0.000
Li1 Li 0.500 0.500 0.500
N1 N 0.000 0.500 0.000
N2 N 0.500 0.000 0.000
O1 O 0.000 0.000 0.500
```

***

This record from Alexandria describes crystalline LiRhNO2 at its relaxed geometry. The functional is PBE.

```
data_LiRhNO2
_chemical_formula_sum 'Li1 Rh1 N1 O2'
_symmetry_space_group_name_H-M 'P 1'
_symmetry_Int_Tables_number 1
_symmetry_space_group_name_Hall 'P 1'
_cell_length_a 4.008
_cell_length_b 4.008
_cell_length_c 3.693
_cell_angle_alpha 90.00
_cell_angle_beta 90.00
_cell_angle_gamma 90.00
loop_
_atom_site_label
_atom_site_type_symbol
_atom_site_fract_x
_atom_site_fract_y
_atom_site_fract_z
Li1 Li 0.000 0.000 0.000
Rh1 Rh 0.500 0.500 0.500
N1 N 0.500 0.500 0.000
O1 O 0.000 0.500 0.500
O2 O 0.500 0.000 0.500
```

***

This record from Alexandria describes crystalline LiRhNO2 at its relaxed geometry. The functional is PBE.

```
data_LiRhNO2
_chemical_formula_sum 'Li1 Rh1 N1 O2'
_symmetry_space_group_name_H-M 'P 1'
_symmetry_Int_Tables_number 1
_symmetry_space_group_name_Hall 'P 1'
_cell_length_a 3.530
_cell_length_b 3.530
_cell_length_c 3.575
_cell_angle_alpha 90.00
_cell_angle_beta 90.00
_cell_angle_gamma 90.00
loop_
_atom_site_label
_atom_site_type_symbol
_atom_site_fract_x
_atom_site_fract_y
_atom_site_fract_z
Li1 Li 0.000 0.000 0.000
Rh1 Rh 0.500 0.500 0.500
N1 N 0.000 0.000 0.500
O1 O 0.000 0.500 0.000
O2 O 0.500 0.000 0.000
```

***

This record from Alexandria describes crystalline LiRh2NO at its relaxed geometry. The functional is PBE.

```
data_LiRh2NO
_chemical_formula_sum 'Li1 Rh2 N1 O1'
_symmetry_space_group_name_H-M 'P 1'
_symmetry_Int_Tables_number 1
_symmetry_space_group_name_Hall 'P 1'
_cell_length_a 4.218
_cell_length_b 4.218
_cell_length_c 3.118
_cell_angle_alpha 90.00
_cell_angle_beta 90.00
_cell_angle_gamma 90.00
loop_
_atom_site_label
_atom_site_type_symbol
_atom_site_fract_x
_atom_site_fract_y
_atom_site_fract_z
Li1 Li 0.000 0.000 0.000
Rh1 Rh 0.000 0.500 0.000
Rh2 Rh 0.500 0.000 0.000
N1 N 0.500 0.500 0.500
O1 O 0.000 0.000 0.500
```

***

This record from Alexandria describes crystalline Li2RuNO at its relaxed geometry. The functional is PBE.

```
data_Li2RuNO
_chemical_formula_sum 'Li2 Ru1 N1 O1'
_symmetry_space_group_name_H-M 'P 1'
_symmetry_Int_Tables_number 1
_symmetry_space_group_name_Hall 'P 1'
_cell_length_a 3.395
_cell_length_b 3.395
_cell_length_c 4.200
_cell_angle_alpha 90.00
_cell_angle_beta 90.00
_cell_angle_gamma 90.00
loop_
_atom_site_label
_atom_site_type_symbol
_atom_site_fract_x
_atom_site_fract_y
_atom_site_fract_z
Li1 Li 0.000 0.500 0.000
Li2 Li 0.500 0.000 0.000
Ru1 Ru 0.000 0.000 0.500
N1 N 0.500 0.500 0.500
O1 O 0.000 0.000 0.000
```

***

This record from Alexandria describes crystalline LiSNO2 at its relaxed geometry. The functional is PBE.

```
data_LiSNO2
_chemical_formula_sum 'Li1 S1 N1 O2'
_symmetry_space_group_name_H-M 'P 1'
_symmetry_Int_Tables_number 1
_symmetry_space_group_name_Hall 'P 1'
_cell_length_a 3.713
_cell_length_b 3.713
_cell_length_c 3.219
_cell_angle_alpha 90.00
_cell_angle_beta 90.00
_cell_angle_gamma 90.00
loop_
_atom_site_label
_atom_site_type_symbol
_atom_site_fract_x
_atom_site_fract_y
_atom_site_fract_z
Li1 Li 0.000 0.000 0.000
S1 S 0.500 0.500 0.500
N1 N 0.500 0.500 0.000
O1 O 0.000 0.500 0.500
O2 O 0.500 0.000 0.500
```

***

This record from Alexandria describes crystalline LiSNO2 at its relaxed geometry. The functional is PBE.

```
data_LiSNO2
_chemical_formula_sum 'Li1 S1 N1 O2'
_symmetry_space_group_name_H-M 'P 1'
_symmetry_Int_Tables_number 1
_symmetry_space_group_name_Hall 'P 1'
_cell_length_a 3.518
_cell_length_b 3.518
_cell_length_c 4.123
_cell_angle_alpha 90.00
_cell_angle_beta 90.00
_cell_angle_gamma 90.00
loop_
_atom_site_label
_atom_site_type_symbol
_atom_site_fract_x
_atom_site_fract_y
_atom_site_fract_z
Li1 Li 0.000 0.000 0.000
S1 S 0.500 0.500 0.500
N1 N 0.000 0.000 0.500
O1 O 0.000 0.500 0.000
O2 O 0.500 0.000 0.000
```

***

no.,DFT total energy (Ry/atom),uncorrected formation energy (meV per atom),total magnetization (μB/atom)
1,-0.280,1092.3,1.20
2,-0.226,1820.6,1.20
3,-0.406,-27.4,0.00
4,-0.339,894.9,0.00
5,-0.347,1253.2,0.00
6,-0.402,-192.8,0.27
7,-0.346,152.2,0.00
8,-0.262,1285.6,0.59